SrHg3Mo PBE relaxed; space-group type = Pm-3m; energy relative to the lowest polymorph listed for this composition = 0 meV per atom
1.0
5.3102 0.0000 0.0000
0.0000 5.3102 0.0000
0.0000 0.0000 5.3102
Sr Hg Mo
1 3 1
direct
0.0000 0.0000 0.0000
0.0000 0.5000 0.5000
0.5000 0.0000 0.5000
0.5000 0.5000 0.0000
0.5000 0.5000 0.5000

---

SrHg2Mo PBE relaxed; space-group type = Cmmm; energy relative to the lowest polymorph listed for this composition = 101 meV per atom
1.0
3.4135 -4.1521 0.0000
3.4135 4.1521 0.0000
0.0000 0.0000 3.1874
Sr Hg Mo
1 2 1
direct
0.0000 0.0000 0.0000
0.0000 0.5000 0.5000
0.5000 0.0000 0.5000
0.5000 0.5000 0.0000

---

SrHg2Mo PBE relaxed; space-group type = P4/mmm; energy relative to the lowest polymorph listed for this composition = 103 meV per atom
1.0
5.2605 0.0000 0.0000
0.0000 5.2605 0.0000
0.0000 0.0000 3.2945
Sr Hg Mo
1 2 1
direct
0.0000 0.0000 0.0000
0.0000 0.5000 0.5000
0.5000 0.0000 0.5000
0.5000 0.5000 0.0000

---

SrHg2Mo PBE relaxed; space-group type = Cm; energy relative to the lowest polymorph listed for this composition = 147 meV per atom
1.0
5.7761 -1.5902 0.0000
5.7761 1.5902 0.0000
-1.9794 0.0000 5.1077
Sr Hg Mo
1 2 1
direct
0.0000 0.0000 0.0000
0.5312 0.5312 0.5378
0.7629 0.7629 0.1402
0.2527 0.2527 0.5894

---

SrZn2HgMo PBE relaxed; space-group type = P4/mmm
1.0
5.8268 0.0000 0.0000
0.0000 5.8268 0.0000
0.0000 0.0000 5.9958
Sr Zn Hg Mo
1 2 1 1
direct
0.0000 0.0000 0.0000
0.0000 0.5000 0.0000
0.5000 0.0000 0.0000
0.0000 0.0000 0.5000
0.5000 0.5000 0.5000

---

Sr2ZrHgMo PBE relaxed; space-group type = P4/mmm
1.0
6.1107 0.0000 0.0000
0.0000 6.1107 0.0000
0.0000 0.0000 4.8084
Sr Zr Hg Mo
2 1 1 1
direct
0.0000 0.5000 0.0000
0.5000 0.0000 0.0000
0.0000 0.0000 0.5000
0.5000 0.5000 0.5000
0.0000 0.0000 0.0000

---

TaHgMo2 PBE relaxed; space-group type = R-3m
1.0
1.4384 0.8305 9.9796
-1.4384 0.8305 9.9796
0.0000 -1.6609 9.9796
Ta Hg Mo
1 1 2
direct
0.0000 0.0000 0.0000
0.5000 0.5000 0.5000
0.2511 0.2511 0.2511
0.7489 0.7489 0.7489

---

TaHgMo4 PBE relaxed; space-group type = F-43m
1.0
0.0000 3.7360 3.7360
3.7360 0.0000 3.7360
3.7360 3.7360 0.0000
Ta Hg Mo
1 1 4
direct
0.0000 0.0000 0.0000
0.7500 0.7500 0.7500
0.3758 0.3758 0.3758
0.3758 0.3758 0.8727
0.3758 0.8727 0.3758
0.8727 0.3758 0.3758

---

TaHgMo2 PBE relaxed; space-group type = Imm2
1.0
-1.7088 2.2771 4.4866
1.7088 -2.2771 4.4866
1.7088 2.2771 -4.4866
Ta Hg Mo
1 1 2
direct
0.0000 0.0000 0.0000
0.2685 0.7685 0.5000
0.5343 0.5343 0.0000
0.7598 0.2598 0.5000

---

TaHgMo2 PBE relaxed; space-group type = Pmmm
1.0
2.7122 0.0000 0.0000
0.0000 4.4575 0.0000
0.0000 0.0000 5.8604
Ta Hg Mo
1 1 2
direct
0.0000 0.0000 0.0000
0.0000 0.0000 0.5000
0.5000 0.5000 0.2347
0.5000 0.5000 0.7653

---

Ta3HgMo PBE relaxed; space-group type = Pm-3m; energy relative to the lowest polymorph listed for this composition = 0 meV per atom
1.0
4.8431 0.0000 0.0000
0.0000 4.8431 0.0000
0.0000 0.0000 4.8431
Ta Hg Mo
3 1 1
direct
0.0000 0.0000 0.5000
0.0000 0.5000 0.0000
0.5000 0.0000 0.0000
0.5000 0.5000 0.5000
0.0000 0.0000 0.0000

---

TaHg2Mo PBE relaxed; space-group type = P4mm; energy relative to the lowest polymorph listed for this composition = 57 meV per atom
1.0
3.3983 0.0000 0.0000
0.0000 3.3983 0.0000
0.0000 0.0000 6.8272
Ta Hg Mo
1 2 1
direct
0.0000 0.0000 0.0000
0.0000 0.0000 0.5558
0.5000 0.5000 0.2790
0.5000 0.5000 0.8304

---

TaHgMo2 PBE relaxed; space-group type = Cmmm
1.0
1.6630 -2.2720 0.0000
1.6630 2.2720 0.0000
0.0000 0.0000 9.3221
Ta Hg Mo
1 1 2
direct
0.0000 0.0000 0.0000
0.0000 0.0000 0.5000
0.5000 0.5000 0.2381
0.5000 0.5000 0.7619

---

TaHg2Mo PBE relaxed; space-group type = Fm-3m; energy relative to the lowest polymorph listed for this composition = 437 meV per atom
1.0
0.0000 3.3364 3.3364
3.3364 0.0000 3.3364
3.3364 3.3364 0.0000
Ta Hg Mo
1 2 1
direct
0.0000 0.0000 0.0000
0.2500 0.2500 0.2500
0.7500 0.7500 0.7500
0.5000 0.5000 0.5000

---

Ta3HgMo PBE relaxed; space-group type = Pm-3m; energy relative to the lowest polymorph listed for this composition = 1147 meV per atom
1.0
4.9381 0.0000 0.0000
0.0000 4.9381 0.0000
0.0000 0.0000 4.9381
Ta Hg Mo
3 1 1
direct
0.0000 0.0000 0.5000
0.0000 0.5000 0.0000
0.5000 0.0000 0.0000
0.0000 0.0000 0.0000
0.5000 0.5000 0.5000

---

TaHgMo2 PBE relaxed; space-group type = P4mm
1.0
3.2841 0.0000 0.0000
0.0000 3.2841 0.0000
0.0000 0.0000 6.5551
Ta Hg Mo
1 1 2
direct
0.0000 0.0000 0.0000
0.5000 0.5000 0.2832
0.0000 0.0000 0.5587
0.5000 0.5000 0.7714

---

TaHgMo2 PBE relaxed; space-group type = P4/mmm
1.0
4.0793 0.0000 0.0000
0.0000 4.0793 0.0000
0.0000 0.0000 4.1297
Ta Hg Mo
1 1 2
direct
0.0000 0.0000 0.0000
0.5000 0.5000 0.0000
0.0000 0.5000 0.5000
0.5000 0.0000 0.5000

---

TaHg2Mo PBE relaxed; space-group type = I-42d; energy relative to the lowest polymorph listed for this composition = 702 meV per atom
1.0
-3.7144 3.7144 2.8652
3.7144 -3.7144 2.8652
3.7144 3.7144 -2.8652
Ta Hg Mo
2 4 2
direct
0.0000 0.0000 0.0000
0.7500 0.2500 0.5000
0.1280 0.6250 0.0030
0.3750 0.3780 0.5030
0.6220 0.1250 0.9970
0.8750 0.8720 0.4970
0.2500 0.7500 0.5000
0.5000 0.5000 0.0000

---

TaHgMo2 PBE relaxed; space-group type = P4/mmm
1.0
2.7595 0.0000 0.0000
0.0000 2.7595 0.0000
0.0000 0.0000 9.3265
Ta Hg Mo
1 1 2
direct
0.0000 0.0000 0.0000
0.0000 0.0000 0.5000
0.5000 0.5000 0.2466
0.5000 0.5000 0.7534

---

TaHgMo2 PBE relaxed; space-group type = Cmmm
1.0
2.8969 -4.0906 0.0000
2.8969 4.0906 0.0000
0.0000 0.0000 2.9394
Ta Hg Mo
1 1 2
direct
0.0000 0.0000 0.0000
0.5000 0.5000 0.0000
0.0000 0.5000 0.5000
0.5000 0.0000 0.5000

---

TaHgMo2 PBE relaxed; space-group type = R3m
1.0
1.5347 0.8861 8.9363
-1.5347 0.8861 8.9363
0.0000 -1.7721 8.9363
Ta Hg Mo
1 1 2
direct
0.0000 0.0000 0.0000
0.7592 0.7592 0.7592
0.2554 0.2554 0.2554
0.5172 0.5172 0.5172

---

TaHg2Mo PBE relaxed; space-group type = Cmmm; energy relative to the lowest polymorph listed for this composition = 186 meV per atom
1.0
2.8737 -4.4831 0.0000
2.8737 4.4831 0.0000
0.0000 0.0000 2.8727
Ta Hg Mo
1 2 1
direct
0.0000 0.0000 0.0000
0.0000 0.5000 0.5000
0.5000 0.0000 0.5000
0.5000 0.5000 0.0000

---

TaHgMo2 PBE relaxed; space-group type = I-4m2
1.0
-2.0793 2.0793 4.0031
2.0793 -2.0793 4.0031
2.0793 2.0793 -4.0031
Ta Hg Mo
1 1 2
direct
0.0000 0.0000 0.0000
0.2500 0.7500 0.5000
0.5000 0.5000 0.0000
0.7500 0.2500 0.5000

---

TaHg2Mo PBE relaxed; space-group type = P4/mmm; energy relative to the lowest polymorph listed for this composition = 366 meV per atom
1.0
3.5923 0.0000 0.0000
0.0000 3.5923 0.0000
0.0000 0.0000 5.7964
Ta Hg Mo
1 2 1
direct
0.0000 0.0000 0.0000
0.5000 0.5000 0.2531
0.5000 0.5000 0.7469
0.0000 0.0000 0.5000

---

TaHg2Mo PBE relaxed; space-group type = P4/mmm; energy relative to the lowest polymorph listed for this composition = 155 meV per atom
1.0
4.0534 0.0000 0.0000
0.0000 4.0534 0.0000
0.0000 0.0000 4.4970
Ta Hg Mo
1 2 1
direct
0.0000 0.0000 0.0000
0.0000 0.5000 0.5000
0.5000 0.0000 0.5000
0.5000 0.5000 0.0000

---

TaHg2Mo PBE relaxed; space-group type = I-4m2; energy relative to the lowest polymorph listed for this composition = 249 meV per atom
1.0
-2.0809 2.0809 4.2913
2.0809 -2.0809 4.2913
2.0809 2.0809 -4.2913
Ta Hg Mo
1 2 1
direct
0.0000 0.0000 0.0000
0.2500 0.7500 0.5000
0.5000 0.5000 0.0000
0.7500 0.2500 0.5000

---

TaHg2Mo PBE relaxed; space-group type = F-43m; energy relative to the lowest polymorph listed for this composition = 428 meV per atom
1.0
0.0000 3.3659 3.3659
3.3659 0.0000 3.3659
3.3659 3.3659 0.0000
Ta Hg Mo
1 2 1
direct
0.0000 0.0000 0.0000
0.5000 0.5000 0.5000
0.7500 0.7500 0.7500
0.2500 0.2500 0.2500

---

TaHgMo2 PBE relaxed; space-group type = P2/m
1.0
2.7989 0.0000 0.0000
0.0000 4.6025 0.0000
-1.1582 0.0000 5.5511
Ta Hg Mo
1 1 2
direct
0.0000 0.0000 0.0000
0.5000 0.0000 0.5000
0.2677 0.5000 0.7814
0.7323 0.5000 0.2186

---

TaHg2Mo PBE relaxed; space-group type = R3m; energy relative to the lowest polymorph listed for this composition = 156 meV per atom
1.0
1.4798 0.8544 10.2250
-1.4798 0.8544 10.2250
0.0000 -1.7088 10.2250
Ta Hg Mo
1 2 1
direct
0.0000 0.0000 0.0000
0.5073 0.5073 0.5073
0.7500 0.7500 0.7500
0.2548 0.2548 0.2548

---

TaHg2Mo PBE relaxed; space-group type = Cmm2; energy relative to the lowest polymorph listed for this composition = 0 meV per atom
1.0
1.6680 -2.5000 0.0000
1.6680 2.5000 0.0000
0.0000 0.0000 9.5204
Ta Hg Mo
1 2 1
direct
0.0000 0.0000 0.0000
0.0000 0.0000 0.4619
0.5000 0.5000 0.7400
0.5000 0.5000 0.2070

---

Ρ per entry: 8.71, 10.75, 10.65, 10.35, 4.20, 5.21, 13.31, 12.18, 13.64, 13.44, 12.27, 14.28, 13.52, 15.16, 11.58, 13.47, 13.86, 14.24, 13.41, 13.67, 13.06, 15.21, 13.75, 15.05, 15.24, 15.15, 14.76, 13.32, 14.52, 14.18 g cm⁻³
Formation enthalpy at 0 K per entry: 0.30, 0.45, 0.45, 0.49, 1.50, 0.64, 0.49, 0.31, 0.30, 0.42, 1.37, 0.36, 0.25, 0.74, 2.52, 0.25, 0.32, 1.00, 0.40, 0.43, 0.38, 0.49, 0.37, 0.67, 0.45, 0.55, 0.73, 0.34, 0.46, 0.30 eV/atom